Record 1
# GaCo2BRu | Alexandria | PBE | optimized geometry
# energy	-6.74	eV/atom
# magnetization	1.87	μB/f.u.
# ΔH_f (0 K)	-0.53	eV per formula unit
# DOS at the Fermi energy	6.9	states/eV/cell
data_GaCo2BRu
_cell_length_a 3.820
_cell_length_b 3.820
_cell_length_c 4.050
_cell_angle_alpha 90.00
_cell_angle_beta 90.00
_cell_angle_gamma 90.00
_symmetry_space_group_name_H-M 'P 4/m m m'
_symmetry_Int_Tables_number 123
_symmetry_space_group_name_Hall '-P 4 2'
loop_
_atom_site_label
_atom_site_fract_x
_atom_site_fract_y
_atom_site_fract_z
Ga1 0.000 0.000 0.000
Co1 0.000 0.500 0.500
B1 0.500 0.500 0.500
Ru1 0.500 0.500 0.000

=====

Record 2
# Sc2GaCo5B2 | Alexandria | PBE | optimized geometry
# energy	-7.01	eV/atom
# magnetization	0.00	μB/f.u.
# ΔH_f (0 K)	-5.57	eV per formula unit
# DOS at the Fermi energy	9.8	states/eV/cell
data_Sc2GaCo5B2
_cell_length_a 8.753
_cell_length_b 8.753
_cell_length_c 2.951
_cell_angle_alpha 90.00
_cell_angle_beta 90.00
_cell_angle_gamma 90.00
_symmetry_space_group_name_H-M 'P 4/m b m'
_symmetry_Int_Tables_number 127
_symmetry_space_group_name_Hall '-P 4 2ab'
loop_
_atom_site_label
_atom_site_fract_x
_atom_site_fract_y
_atom_site_fract_z
Sc1 0.176 0.324 0.000
Ga1 0.000 0.000 0.000
Co1 0.000 0.500 0.500
Co2 0.069 0.777 0.500
B1 0.121 0.621 0.000

=====

Record 3
# Ga2Co5SiB2 | Alexandria | PBE | optimized geometry
# energy	-6.33	eV/atom
# magnetization	0.00	μB/f.u.
# energy relative to the elements, uncorrected	-297	meV/atom
# DOS at the Fermi energy	12.0	states/eV/cell
data_Ga2Co5SiB2
_cell_length_a 8.597
_cell_length_b 8.597
_cell_length_c 2.756
_cell_angle_alpha 90.00
_cell_angle_beta 90.00
_cell_angle_gamma 90.00
_symmetry_space_group_name_H-M 'P 4/m b m'
_symmetry_Int_Tables_number 127
_symmetry_space_group_name_Hall '-P 4 2ab'
loop_
_atom_site_label
_atom_site_fract_x
_atom_site_fract_y
_atom_site_fract_z
Ga1 0.173 0.327 0.000
Co1 0.000 0.500 0.500
Co2 0.077 0.791 0.500
Si1 0.000 0.000 0.000
B1 0.125 0.625 0.000

=====

Record 4
# Sm2GaCo12B3 | Alexandria | PBE | optimized geometry
# energy	-6.35	eV/atom
# magnetization	10.92	μB/f.u.
# ΔH_f (0 K)	3.55	eV per formula unit
# DOS at the Fermi energy	71.2	states/eV/cell
data_Sm2GaCo12B3
_cell_length_a 6.9854
_cell_length_b 6.9854
_cell_length_c 16.7299
_cell_angle_alpha 90.00
_cell_angle_beta 90.00
_cell_angle_gamma 120.00
_symmetry_space_group_name_H-M 'R -3 m'
_symmetry_Int_Tables_number 166
_symmetry_space_group_name_Hall '-R 3 2"'
loop_
_atom_site_label
_atom_site_fract_x
_atom_site_fract_y
_atom_site_fract_z
Sm1 0.0000 0.0000 0.0896
Ga1 0.0000 0.0000 0.5000
Co1 0.0830 0.5415 0.8876
Co2 0.0858 0.5429 0.3027
B1 0.0000 0.5000 0.0000

=====

Record 5
# TaGa2CoB | Alexandria | PBE | optimized geometry
# energy	-5.87	eV/atom
# magnetization	0.90	μB/f.u.
# ΔH_f (0 K)	2.36	eV per formula unit
# DOS at the Fermi energy	3.9	states/eV/cell
data_TaGa2CoB
_cell_length_a 4.054
_cell_length_b 4.054
_cell_length_c 4.369
_cell_angle_alpha 90.00
_cell_angle_beta 90.00
_cell_angle_gamma 90.00
_symmetry_space_group_name_H-M 'P 4/m m m'
_symmetry_Int_Tables_number 123
_symmetry_space_group_name_Hall '-P 4 2'
loop_
_atom_site_label
_atom_site_fract_x
_atom_site_fract_y
_atom_site_fract_z
Ta1 0.000 0.000 0.000
Ga1 0.000 0.500 0.500
Co1 0.500 0.500 0.000
B1 0.000 0.000 0.500

=====

Record 6
# Tb3Ga2Co3B | Alexandria | PBE | optimized geometry
# energy	-5.60	eV/atom
# magnetization	0.00	μB/f.u.
# ΔH_f (0 K)	-2.48	eV per formula unit
# DOS at the Fermi energy	6.4	states/eV/cell
data_Tb3Ga2Co3B
_cell_length_a 7.0920
_cell_length_b 7.0920
_cell_length_c 3.5463
_cell_angle_alpha 90.00
_cell_angle_beta 90.00
_cell_angle_gamma 120.00
_symmetry_space_group_name_H-M 'P -6 2 m'
_symmetry_Int_Tables_number 189
_symmetry_space_group_name_Hall 'P -6 -2'
loop_
_atom_site_label
_atom_site_fract_x
_atom_site_fract_y
_atom_site_fract_z
Tb1 0.0000 0.6338 0.0000
Ga1 0.3333 0.6667 0.5000
Co1 0.0000 0.2015 0.5000
B1 0.0000 0.0000 0.0000